# PBE LiTmPaRe, optimized geometry
data_LiTmPaRe
_chemical_formula_sum 'Li1 Tm1 Pa1 Re1'
_symmetry_space_group_name_H-M 'P 1'
_symmetry_Int_Tables_number 1
_cell_length_a 4.885
_cell_length_b 4.885
_cell_length_c 4.885
_cell_angle_alpha 60.00
_cell_angle_beta 60.00
_cell_angle_gamma 60.00
loop_
_symmetry_equiv_pos_as_xyz
'x,y,z'
loop_
_atom_site_label
_atom_site_fract_x
_atom_site_fract_y
_atom_site_fract_z
Pa1 0.750 0.750 0.750
Re1 0.500 0.500 0.500
Li1 0.000 0.000 0.000
Tm1 0.250 0.250 0.250
# - raw total energy (eV for the cell shown) = -28.1
# - space-group type = F-43m (216)
# - formation energy (eV per atom) = 0.06

---

# PBE Li2PaRh5, optimized geometry
data_Li2PaRh5
_chemical_formula_sum 'Li2 Pa1 Rh5'
_symmetry_space_group_name_H-M 'P 1'
_symmetry_Int_Tables_number 1
_cell_length_a 4.108
_cell_length_b 4.108
_cell_length_c 7.564
_cell_angle_alpha 105.76
_cell_angle_beta 105.76
_cell_angle_gamma 90.00
loop_
_symmetry_equiv_pos_as_xyz
'x,y,z'
loop_
_atom_site_label
_atom_site_fract_x
_atom_site_fract_y
_atom_site_fract_z
Rh1 0.363 0.863 0.727
Li1 0.248 0.248 0.496
Rh2 0.863 0.363 0.727
Rh3 0.500 0.500 0.000
Rh4 0.137 0.637 0.273
Rh5 0.637 0.137 0.273
Li2 0.752 0.752 0.504
Pa1 0.000 0.000 0.000
# - raw total energy (eV for the cell shown) = -54.0
# - space-group type = I4/mmm (139)
# - formation energy (eV per atom) = -0.49

---

# PBE Li4PaRh12, optimized geometry
data_Li4PaRh12
_chemical_formula_sum 'Li4 Pa1 Rh12'
_symmetry_space_group_name_H-M 'P 1'
_symmetry_Int_Tables_number 1
_cell_length_a 4.863
_cell_length_b 7.979
_cell_length_c 7.979
_cell_angle_alpha 115.98
_cell_angle_beta 101.72
_cell_angle_gamma 101.72
loop_
_symmetry_equiv_pos_as_xyz
'x,y,z'
loop_
_atom_site_label
_atom_site_fract_x
_atom_site_fract_y
_atom_site_fract_z
Rh1 0.556 0.499 0.184
Rh2 0.660 0.849 0.650
Rh3 0.990 0.650 0.801
Rh4 0.010 0.350 0.199
Rh5 0.189 0.199 0.849
Li1 0.000 0.000 0.500
Rh6 0.056 0.684 0.501
Pa1 0.000 0.000 0.000
Rh7 0.944 0.316 0.499
Rh8 0.811 0.801 0.151
Rh9 0.444 0.501 0.816
Rh10 0.340 0.151 0.350
Rh11 0.372 0.816 0.316
Li2 0.000 0.500 0.000
Li3 0.500 0.500 0.500
Li4 0.500 0.000 0.000
Rh12 0.628 0.184 0.684
# - raw total energy (eV for the cell shown) = -102.8
# - space-group type = R-3 (148)
# - formation energy (eV per atom) = 0.15

---

# PBE LiPaRh3, optimized geometry
data_LiPaRh3
_chemical_formula_sum 'Li2 Pa2 Rh6'
_symmetry_space_group_name_H-M 'P 1'
_symmetry_Int_Tables_number 1
_cell_length_a 4.450
_cell_length_b 6.415
_cell_length_c 6.415
_cell_angle_alpha 120.00
_cell_angle_beta 90.00
_cell_angle_gamma 90.00
loop_
_symmetry_equiv_pos_as_xyz
'x,y,z'
loop_
_atom_site_label
_atom_site_fract_x
_atom_site_fract_y
_atom_site_fract_z
Rh1 0.750 0.190 0.810
Rh2 0.750 0.190 0.380
Pa1 0.750 0.667 0.333
Rh3 0.250 0.380 0.190
Rh4 0.250 0.810 0.190
Li1 0.500 0.000 0.000
Rh5 0.250 0.810 0.620
Li2 0.000 0.000 0.000
Pa2 0.250 0.333 0.667
Rh6 0.750 0.620 0.810
# - raw total energy (eV for the cell shown) = -72.2
# - space-group type = P6_3/mmc (194)
# - formation energy (eV per atom) = -0.52
# - energy relative to the lowest polymorph listed for this composition (meV per atom) = 0

---

# PBE LiPaRh5, optimized geometry
data_LiPaRh5
_chemical_formula_sum 'Li2 Pa2 Rh10'
_symmetry_space_group_name_H-M 'P 1'
_symmetry_Int_Tables_number 1
_cell_length_a 5.517
_cell_length_b 5.517
_cell_length_c 11.355
_cell_angle_alpha 56.34
_cell_angle_beta 56.34
_cell_angle_gamma 61.36
loop_
_symmetry_equiv_pos_as_xyz
'x,y,z'
loop_
_atom_site_label
_atom_site_fract_x
_atom_site_fract_y
_atom_site_fract_z
Pa1 0.381 0.619 0.750
Rh1 0.265 0.465 0.500
Rh2 0.535 0.735 0.000
Pa2 0.619 0.381 0.250
Rh3 0.432 0.094 0.735
Rh4 0.094 0.432 0.235
Rh5 0.906 0.568 0.765
Rh6 0.568 0.906 0.265
Rh7 0.735 0.535 0.500
Rh8 0.089 0.911 0.250
Rh9 0.911 0.089 0.750
Rh10 0.465 0.265 0.000
Li1 0.000 0.000 0.500
Li2 0.000 0.000 0.000
# - raw total energy (eV for the cell shown) = -101.8
# - space-group type = C2/c (15)
# - formation energy (eV per atom) = -0.39

---

# PBE LiPa2Rh4, optimized geometry
data_LiPa2Rh4
_chemical_formula_sum 'Li1 Pa2 Rh4'
_symmetry_space_group_name_H-M 'P 1'
_symmetry_Int_Tables_number 1
_cell_length_a 4.039
_cell_length_b 5.607
_cell_length_c 5.607
_cell_angle_alpha 95.35
_cell_angle_beta 90.00
_cell_angle_gamma 90.00
loop_
_symmetry_equiv_pos_as_xyz
'x,y,z'
loop_
_atom_site_label
_atom_site_fract_x
_atom_site_fract_y
_atom_site_fract_z
Rh1 0.000 0.263 0.263
Rh2 0.000 0.737 0.737
Li1 0.500 0.500 0.500
Pa1 0.000 0.782 0.218
Rh3 0.500 0.500 0.000
Rh4 0.500 0.000 0.500
Pa2 0.000 0.218 0.782
# - raw total energy (eV for the cell shown) = -55.5
# - space-group type = Cmmm (65)
# - formation energy (eV per atom) = -0.75

---

# PBE Li3PaRh4, optimized geometry
data_Li3PaRh4
_chemical_formula_sum 'Li6 Pa2 Rh8'
_symmetry_space_group_name_H-M 'P 1'
_symmetry_Int_Tables_number 1
_cell_length_a 4.363
_cell_length_b 6.115
_cell_length_c 8.724
_cell_angle_alpha 90.00
_cell_angle_beta 90.00
_cell_angle_gamma 90.00
loop_
_symmetry_equiv_pos_as_xyz
'x,y,z'
loop_
_atom_site_label
_atom_site_fract_x
_atom_site_fract_y
_atom_site_fract_z
Rh1 0.500 0.760 0.000
Rh2 0.500 0.240 0.500
Rh3 0.500 0.760 0.500
Li1 0.000 0.000 0.000
Rh4 0.000 0.240 0.250
Li2 0.500 0.500 0.250
Pa1 0.000 0.500 0.500
Li3 0.500 0.000 0.250
Li4 0.000 0.000 0.500
Rh5 0.000 0.240 0.750
Li5 0.500 0.500 0.750
Rh6 0.000 0.760 0.750
Pa2 0.000 0.500 0.000
Li6 0.500 0.000 0.750
Rh7 0.000 0.760 0.250
Rh8 0.500 0.240 0.000
# - raw total energy (eV for the cell shown) = -97.4
# - space-group type = P4/mmm (123)
# - formation energy (eV per atom) = -0.51

---

# PBE LiPaRh3, optimized geometry
data_LiPaRh3
_chemical_formula_sum 'Li2 Pa2 Rh6'
_symmetry_space_group_name_H-M 'P 1'
_symmetry_Int_Tables_number 1
_cell_length_a 4.640
_cell_length_b 7.427
_cell_length_c 7.427
_cell_angle_alpha 130.24
_cell_angle_beta 90.00
_cell_angle_gamma 90.00
loop_
_symmetry_equiv_pos_as_xyz
'x,y,z'
loop_
_atom_site_label
_atom_site_fract_x
_atom_site_fract_y
_atom_site_fract_z
Rh1 0.250 0.423 0.164
Li1 0.750 0.543 0.457
Rh2 0.500 0.000 0.000
Rh3 0.750 0.577 0.836
Rh4 0.250 0.836 0.577
Pa1 0.250 0.239 0.761
Pa2 0.750 0.761 0.239
Li2 0.250 0.457 0.543
Rh5 0.000 0.000 0.000
Rh6 0.750 0.164 0.423
# - raw total energy (eV for the cell shown) = -69.1
# - space-group type = Cmcm (63)
# - formation energy (eV per atom) = -0.21
# - energy relative to the lowest polymorph listed for this composition (meV per atom) = 310

---

# PBE Li2PaRh2, optimized geometry
data_Li2PaRh2
_chemical_formula_sum 'Li2 Pa1 Rh2'
_symmetry_space_group_name_H-M 'P 1'
_symmetry_Int_Tables_number 1
_cell_length_a 4.862
_cell_length_b 4.862
_cell_length_c 5.397
_cell_angle_alpha 90.70
_cell_angle_beta 104.11
_cell_angle_gamma 135.71
loop_
_symmetry_equiv_pos_as_xyz
'x,y,z'
loop_
_atom_site_label
_atom_site_fract_x
_atom_site_fract_y
_atom_site_fract_z
Rh1 0.786 0.413 0.199
Li1 0.416 0.171 0.587
Pa1 0.000 0.000 0.000
Rh2 0.214 0.587 0.801
Li2 0.584 0.829 0.413
# - raw total energy (eV for the cell shown) = -30.5
# - space-group type = C2/m (12)
# - formation energy (eV per atom) = -0.50

---

# PBE LiPaRuRh, optimized geometry
data_LiPaRuRh
_chemical_formula_sum 'Li1 Pa1 Ru1 Rh1'
_symmetry_space_group_name_H-M 'P 1'
_symmetry_Int_Tables_number 1
_cell_length_a 3.672
_cell_length_b 4.081
_cell_length_c 4.350
_cell_angle_alpha 90.00
_cell_angle_beta 90.00
_cell_angle_gamma 90.00
loop_
_symmetry_equiv_pos_as_xyz
'x,y,z'
loop_
_atom_site_label
_atom_site_fract_x
_atom_site_fract_y
_atom_site_fract_z
Rh1 0.500 0.500 0.000
Pa1 0.000 0.500 0.500
Li1 0.000 0.000 0.000
Ru1 0.500 0.000 0.500
# - raw total energy (eV for the cell shown) = -30.4
# - space-group type = Pmmm (47)
# - formation energy (eV per atom) = -0.59
# - energy relative to the lowest polymorph listed for this composition (meV per atom) = 0

---

# PBE LiPaRuRh, optimized geometry
data_LiPaRuRh
_chemical_formula_sum 'Li1 Pa1 Ru1 Rh1'
_symmetry_space_group_name_H-M 'P 1'
_symmetry_Int_Tables_number 1
_cell_length_a 4.565
_cell_length_b 4.565
_cell_length_c 4.565
_cell_angle_alpha 60.00
_cell_angle_beta 60.00
_cell_angle_gamma 60.00
loop_
_symmetry_equiv_pos_as_xyz
'x,y,z'
loop_
_atom_site_label
_atom_site_fract_x
_atom_site_fract_y
_atom_site_fract_z
Rh1 0.250 0.250 0.250
Ru1 0.750 0.750 0.750
Pa1 0.500 0.500 0.500
Li1 0.000 0.000 0.000
# - raw total energy (eV for the cell shown) = -29.9
# - space-group type = F-43m (216)
# - formation energy (eV per atom) = -0.47
# - energy relative to the lowest polymorph listed for this composition (meV per atom) = 123